Density functional theory data (GGA-PBEsol) for a relaxed FeBr3Cl crystal.

Output
For the total energy, the calculation gives -3.27 eV per atom. The magnetization comes out at 3.4 μB/f.u. As for the energy relative to the elements, uncorrected: 0.046 eV per atom.

Lattice parameters (Å, degrees): 4.867 4.867 4.867 90.00 90.00 90.00
Space group Pm-3m (No. 221)
Asymmetric unit:
Fe 0.000 0.000 0.000
Br 0.000 0.000 0.500
Cl 0.500 0.500 0.500